1.
Below is BaSiNi2 after structural relaxation, with properties calculated at the PBE level.

POSCAR file:
```
BaSiNi2
1.0
3.8451 0.0000 0.0000
0.0000 3.8442 -0.0911
0.0000 0.1508 5.7743
Ba Si Ni
1 1 2
Direct
0.5000 0.8742 0.7326 Ba
0.0000 0.3751 0.3830 Si
0.5000 0.3749 0.1922 Ni
0.0000 0.8757 0.1922 Ni
```

Computed properties:
uncorrected energy	-19.6	eV/cell
E_form (uncorrected)	-0.180	eV/atom
V	85.4	Å³/cell

***

2.
Below is Tm3Sc2Ru4 after structural relaxation, with properties calculated at the PBE level.

POSCAR file:
```
Tm3Sc2Ru4
1.0
4.7215 0.0005 0.0009
2.3603 4.0863 0.1532
-0.0016 -0.3321 8.8710
Ru Sc Tm
4 2 3
Direct
0.0000 0.0001 0.6488 Ru
0.6667 0.6667 0.8952 Ru
0.3333 0.3333 0.1048 Ru
0.0000 0.9999 0.3512 Ru
0.3333 0.3334 0.7978 Sc
0.6667 0.6666 0.2022 Sc
0.3333 0.3333 0.4090 Tm
0.0000 0.0000 0.0000 Tm
0.6667 0.6667 0.5910 Tm
```

Computed properties:
uncorrected energy	-67.2	eV/cell
formation enthalpy at 0 K	-0.451	eV per atom
V	171.4	Å³/cell